ScSnWO6 | PBE with a Hubbard U | optimized geometry

Lattice parameters (Å, degrees): 5.3167 5.3167 9.3665 90.00 90.00 120.00
Space group P-31c (No. 163)
One atom of each set of equivalent atoms:
1 Sc 0.3333 0.6667 0.2500 x2
2 Sn 0.0000 0.0000 0.0000 x2
3 W 0.3333 0.6667 0.7500 x2
4 O 0.0208 0.3635 0.6340 x12

Summary:
Its total energy is -7.45 eV/atom. For the density of states at the Fermi level, the calculation gives 6.23 states/eV/cell. The magnetization comes out at 0.00 μB/f.u.

Sc2SnWO | PBE with a Hubbard U | optimized geometry

Lattice parameters (Å, degrees): 5.590 5.590 4.113 90.00 90.00 90.00
Space group P4/mmm (No. 123)
One atom of each set of equivalent atoms:
1 Sc 0.000 0.500 0.000 x2
2 Sn 0.000 0.000 0.000 x1
3 W 0.500 0.500 0.500 x1
4 O 0.000 0.000 0.500 x1

Summary:
Its total energy is -5.03 eV/atom. For the density of states at the Fermi level, the calculation gives 7.13 states/eV/cell. The magnetization comes out at 3.86 μB/f.u.

Which formula does entry 1 have?
ScSnWO6